Entry 1:
Sc3HPd: optimized geometry, GGA-PBE.

Cell: 4.372 4.372 4.372 Å, 90.00 90.00 90.00°
Space group Pm-3m (No. 221)
Symmetry-distinct sites (fractional):
Sc (0.000, 0.000, 0.500) (multiplicity 3)
H (0.000, 0.000, 0.000) (multiplicity 1)
Pd (0.500, 0.500, 0.500) (multiplicity 1)

Computed properties:
- Calculated total energy: -29.538 eV for the cell shown
- Density of states at the Fermi level: 7.1 states/eV per cell

=====

Entry 2:
Y2Er3Th: optimized geometry, GGA-PBE.

Cell: 11.211 5.027 14.173 Å, 90.00 108.35 90.00°
Space group C2/m (No. 12)
Symmetry-distinct sites (fractional):
Y (0.001, 0.000, 0.373) (multiplicity 4)
Y (0.003, 0.000, 0.127) (multiplicity 4)
Er (0.167, 0.500, 0.043) (multiplicity 4)
Er (0.168, 0.500, 0.791) (multiplicity 4)
Er (0.171, 0.500, 0.543) (multiplicity 4)
Th (0.168, 0.500, 0.291) (multiplicity 4)

Computed properties:
- Density of states at the Fermi level: 37.7 states/eV per cell
- Calculated formation energy: 38 meV/atom

=====

Entry 3:
HfTiIr2: optimized geometry, GGA-PBE.

Cell: 3.181 3.181 6.488 Å, 90.00 90.00 90.00°
Space group P4/mmm (No. 123)
Symmetry-distinct sites (fractional):
Hf (0.000, 0.000, 0.000) (multiplicity 1)
Ti (0.000, 0.000, 0.500) (multiplicity 1)
Ir (0.500, 0.500, 0.267) (multiplicity 2)

Computed properties:
- Density of states at the Fermi level: 3.7 states/eV per cell
- Calculated formation energy: -825 meV/atom